Entry from Alexandria: BaPr2S4 after structural relaxation (GGA-PBE).

The calculation puts the total energy at -6.04 eV/atom. As for the energy above the most stable polymorph in this dataset: 42.0 meV/atom. The value obtained for the raw formation energy is -2.0455 eV/atom.

It has space group I-42d (No. 122), with a = 8.911 Å, b = 8.911 Å, c = 8.918 Å, α = 90.00°, β = 90.00° and γ = 90.00°. The asymmetric unit holds Ba at (0.000, 0.000, 0.000), Pr at (0.121, 0.750, 0.625) and S at (0.077, 0.668, 0.936).